# Tl14Sb2Se9

An optimized crystal structure of Tl14Sb2Se9 (PBE, Alexandria via LeMat-Bulk).

Computed properties:
Energy relative to the elements, uncorrected in eV per atom: -0.2557
Space group: No. 147
Total DFT energy (no corrections) in eV/atom: -3.165

Unit cell a=9.9399 b=9.9399 c=9.4761 alpha=90.00 beta=90.00 gamma=120.00
Sites, in units of the cell vectors:
Tl1 0.0000 0.0000 0.1830
Tl2 0.0000 0.0000 0.8170
Tl3 0.0155 0.3396 0.5342
Tl4 0.1225 0.4403 0.1578
Tl5 0.3177 0.8775 0.1578
Tl6 0.3241 0.9845 0.5342
Tl7 0.3396 0.3241 0.4658
Tl8 0.4403 0.3177 0.8422
Tl9 0.5597 0.6823 0.1578
Tl10 0.6604 0.6759 0.5342
Tl11 0.6759 0.0155 0.4658
Tl12 0.6823 0.1225 0.8422
Tl13 0.8775 0.5597 0.8422
Tl14 0.9845 0.6604 0.4658
Sb1 0.3333 0.6667 0.8260
Sb2 0.6667 0.3333 0.1740
Se1 0.0000 0.0000 0.5000
Se2 0.0753 0.3621 0.8463
Se3 0.2868 0.9247 0.8463
Se4 0.3333 0.6667 0.5375
Se5 0.3621 0.2868 0.1537
Se6 0.6379 0.7132 0.8463
Se7 0.6667 0.3333 0.4625
Se8 0.7132 0.0753 0.1537
Se9 0.9247 0.6379 0.1537